The following is a DFT calculation (GGA-PBE) of a relaxed B4AsAu crystal.

Cell lengths 3.0114, 3.0114, 8.3323 Å; angles 90.00, 90.00, 120.00 degrees
Closest atoms and distances in Å follow each position.
Space group P6/mmm (No. 191)
Symmetry-distinct sites (fractional):
B 0.3333 0.6667 0.2411 x4  3 B 1.74
As 0.0000 0.0000 0.0000 x1  12 B 2.66
Au 0.0000 0.0000 0.5000 x1  12 B 2.77, 6 Au 3.01

Values from the calculation:
The value obtained for the volume is 10.907 A^3/atom. As for the raw total energy: -5.0824 eV per atom.



The following is a DFT calculation (GGA-PBE) of a relaxed BAsAu crystal.

Cell lengths 5.9526, 5.9526, 5.9526 Å; angles 90.00, 90.00, 90.00 degrees
Closest atoms and distances in Å follow each position.
Space group F-43m (No. 216)
Symmetry-distinct sites (fractional):
B 0.0000 0.0000 0.0000 x4  4 As 2.58
As 0.2500 0.2500 0.7500 x4  4 B 2.58, 4 Au 2.58
Au 0.0000 0.0000 0.5000 x4  4 As 2.58

Values from the calculation:
The value obtained for the volume is 17.577 A^3/atom. As for the raw total energy: -3.6925 eV per atom.



The following is a DFT calculation (GGA-PBE) of a relaxed BAsAu crystal.

Cell lengths 5.9015, 5.9015, 5.9015 Å; angles 90.00, 90.00, 90.00 degrees
Closest atoms and distances in Å follow each position.
Space group F-43m (No. 216)
Symmetry-distinct sites (fractional):
B 0.0000 0.0000 0.0000 x4  4 Au 2.56
As 0.0000 0.0000 0.5000 x4  4 Au 2.56
Au 0.2500 0.2500 0.7500 x4  4 As 2.56, 4 B 2.56

Values from the calculation:
The value obtained for the volume is 17.128 A^3/atom. As for the raw total energy: -3.8500 eV per atom.



The following is a DFT calculation (GGA-PBE) of a relaxed B4AsAu crystal.

Cell lengths 3.0425, 5.1985, 8.2707 Å; angles 90.00, 90.00, 90.00 degrees
Closest atoms and distances in Å follow each position.
Space group Immm (No. 71)
Symmetry-distinct sites (fractional):
B 0.0000 0.1696 0.2430 x8  3 B 1.74-1.76
As 0.0000 0.5000 0.5000 x2  12 B 2.67-2.73
Au 0.0000 0.5000 0.0000 x2  12 B 2.64-2.76

Values from the calculation:
The value obtained for the volume is 10.901 A^3/atom. As for the raw total energy: -5.0629 eV per atom.



The following is a DFT calculation (GGA-PBE) of a relaxed B2AsAu crystal.

Cell lengths 6.0727, 6.0727, 6.0727 Å; angles 90.00, 90.00, 90.00 degrees
Closest atoms and distances in Å follow each position.
Space group F-43m (No. 216)
Symmetry-distinct sites (fractional):
B 0.0000 0.0000 0.0000 x4  4 B 2.63, 4 Au 2.63
B 0.2500 0.2500 0.2500 x4  4 As 2.63, 4 B 2.63
As 0.0000 0.0000 0.5000 x4  4 Au 2.63, 4 B 2.63
Au 0.2500 0.2500 0.7500 x4  4 As 2.63, 4 B 2.63

Values from the calculation:
The value obtained for the volume is 13.997 A^3/atom. As for the raw total energy: -3.6660 eV per atom.



The following is a DFT calculation (GGA-PBE) of a relaxed BAs2Au crystal.

Cell lengths 6.4188, 6.4188, 6.4188 Å; angles 90.00, 90.00, 90.00 degrees
Closest atoms and distances in Å follow each position.
Space group F-43m (No. 216)
Symmetry-distinct sites (fractional):
B 0.0000 0.0000 0.0000 x4  4 As 2.78, 4 Au 2.78
As 0.0000 0.0000 0.5000 x4  4 As 2.78, 4 Au 2.78
As 0.2500 0.2500 0.7500 x4  4 As 2.78, 4 B 2.78
Au 0.2500 0.2500 0.2500 x4  4 As 2.78, 4 B 2.78

Values from the calculation:
The value obtained for the volume is 16.528 A^3/atom. As for the raw total energy: -3.7468 eV per atom.



The following is a DFT calculation (GGA-PBE) of a relaxed BAsAuO crystal.

Cell lengths 2.5864, 7.5259, 5.9018 Å; angles 90.00, 90.00, 90.00 degrees
Closest atoms and distances in Å follow each position.
Space group Pmc2_1 (No. 26)
Symmetry-distinct sites (fractional):
B 0.0000 0.1433 0.0000 x2  2 O 1.46
As 0.0000 0.1376 0.3622 x2  2 B 2.14-2.26
Au 0.5000 0.4380 0.4596 x2  2 Au 2.59, 2 As 2.67, 1 O 2.68
O 0.5000 0.2078 0.9192 x2  2 B 1.46

Values from the calculation:
The value obtained for the volume is 14.360 A^3/atom. As for the raw total energy: -5.4135 eV per atom.



The following is a DFT calculation (GGA-PBE) of a relaxed BAsAuO crystal.

Cell lengths 4.1679, 4.1679, 7.2065 Å; angles 90.00, 90.00, 90.00 degrees
Closest atoms and distances in Å follow each position.
Space group P4/nmm (No. 129, origin choice 2)
Symmetry-distinct sites (fractional):
B 0.2500 0.7500 0.0000 x2  4 As 2.21
As 0.2500 0.2500 0.1037 x2  4 B 2.21
Au 0.2500 0.2500 0.5754 x2  4 O 2.15
O 0.2500 0.7500 0.5000 x2  4 Au 2.15

Values from the calculation:
The value obtained for the volume is 15.648 A^3/atom. As for the raw total energy: -4.1702 eV per atom.